1.
# PmGa3PdRu

PmGa3PdRu after structural relaxation (PBE, Alexandria via LeMat-Bulk).

Calculated values
Crystal system: orthorhombic
E_form (eV/atom): -0.402

a b c (Å): 7.8420 10.9111 5.7620
angles (deg): 90.00 90.00 90.00
Space group Cmcm (No. 63)
Symmetry-distinct sites (fractional):
Pm 0.0000 0.2043 0.2500 x4
Ga 0.0000 0.3060 0.7500 x4
Ga 0.2365 0.0000 0.0000 x8
Pd 0.0000 0.4652 0.2500 x4
Ru 0.0000 0.0836 0.7500 x4


2.
# Ba2Zn3SbAu12

Ba2Zn3SbAu12 after structural relaxation (PBE, Alexandria via LeMat-Bulk).

Calculated values
Crystal system: trigonal
Formation energy (no corrections) (eV per atom): -0.238

a b c (Å): 7.1676 7.1676 28.5696
angles (deg): 90.00 90.00 120.00
Space group R-3m (No. 166, hexagonal axes)
Symmetry-distinct sites (fractional):
Ba 0.0000 0.0000 0.1483 x6
Zn 0.0000 0.5000 0.0000 x9
Sb 0.0000 0.0000 0.5000 x3
Au 0.0365 0.5182 0.0946 x18
Au 0.0664 0.5332 0.6235 x18


3.
# NaAcTmIn

NaAcTmIn after structural relaxation (PBE, Alexandria via LeMat-Bulk).

Calculated values
Crystal system: cubic
E_form (eV/atom): -0.087

a b c (Å): 7.9532 7.9532 7.9532
angles (deg): 90.00 90.00 90.00
Space group F-43m (No. 216)
Symmetry-distinct sites (fractional):
Na 0.0000 0.0000 0.0000 x4
Ac 0.2500 0.2500 0.2500 x4
Tm 0.2500 0.2500 0.7500 x4
In 0.0000 0.0000 0.5000 x4